Entry 1:
Density functional theory data (PBE) for a relaxed structure of Tb3Er5Sc.

```
Tb3Er5Sc
1.0
6.017 -5.524 0.000
6.017 5.524 0.000
-5.693 0.000 9.912
Tb Er Sc
6 10 2
direct
0.000 0.000 0.000
0.000 0.000 0.500
0.218 0.218 0.344
0.320 0.320 0.759
0.680 0.680 0.241
0.782 0.782 0.656
0.080 0.567 0.195
0.284 0.716 0.000
0.323 0.323 0.043
0.433 0.920 0.805
0.494 0.494 0.628
0.506 0.506 0.372
0.567 0.080 0.195
0.677 0.677 0.957
0.716 0.284 0.000
0.920 0.433 0.805
0.067 0.067 0.789
0.933 0.933 0.211
```

Output
As for the total magnetization: 0.00 μB per atom. The calculation puts the calculated formation energy at 0.597 eV/atom. As for the space group: C2/m. Its density of states at the Fermi level is 25.5 states/eV per cell. For the calculated density, the calculation gives 6.845 g/cm³.


Entry 2:
Density functional theory data (PBE) for a relaxed structure of TbEr2Sc.

```
TbEr2Sc
1.0
0.000 3.901 3.901
3.901 0.000 3.901
3.901 3.901 0.000
Tb Er Sc
1 2 1
direct
0.000 0.000 0.000
0.250 0.250 0.250
0.750 0.750 0.750
0.500 0.500 0.500
```

Output
As for the total magnetization: 0.00 μB per atom. The calculation puts the calculated formation energy at 0.145 eV/atom. As for the space group: Fm-3m. Its density of states at the Fermi level is 9.8 states/eV per cell. For the calculated density, the calculation gives 7.532 g/cm³. The value obtained for the energy above the most stable polymorph in this dataset is 0.128 eV/atom.


Entry 3:
Density functional theory data (PBE) for a relaxed structure of Tb5ErSc.

```
Tb5ErSc
1.0
6.071 0.000 0.000
-1.020 5.992 0.000
-1.005 -1.206 5.875
Tb Er Sc
5 1 1
direct
0.000 0.000 0.000
0.139 0.289 0.571
0.287 0.575 0.147
0.427 0.861 0.711
0.714 0.436 0.859
0.575 0.148 0.286
0.856 0.718 0.429
```

Output
As for the total magnetization: 0.00 μB per atom. The calculation puts the calculated formation energy at 0.031 eV/atom. As for the space group: P1. Its density of states at the Fermi level is 9.4 states/eV per cell. For the calculated density, the calculation gives 7.823 g/cm³. The value obtained for the energy above the most stable polymorph in this dataset is 0.000 eV/atom.


Entry 4:
Density functional theory data (PBE) for a relaxed structure of Tb6Er12Sc.

```
Tb6Er12Sc
1.0
6.053 3.495 4.726
-6.053 3.495 4.726
0.000 -6.989 4.726
Tb Er Sc
6 12 1
direct
0.228 0.766 0.381
0.234 0.619 0.772
0.381 0.228 0.766
0.619 0.772 0.234
0.766 0.381 0.228
0.772 0.234 0.619
0.027 0.290 0.963
0.037 0.973 0.710
0.130 0.350 0.451
0.290 0.963 0.027
0.350 0.451 0.130
0.451 0.130 0.350
0.549 0.870 0.650
0.650 0.549 0.870
0.710 0.037 0.973
0.870 0.650 0.549
0.963 0.027 0.290
0.973 0.710 0.037
0.500 0.500 0.500
```

Output
As for the total magnetization: 0.00 μB per atom. The calculation puts the calculated formation energy at 0.174 eV/atom. As for the space group: R-3. Its density of states at the Fermi level is 38.1 states/eV per cell. For the calculated density, the calculation gives 8.321 g/cm³. The value obtained for the energy above the most stable polymorph in this dataset is 0.000 eV/atom.


Entry 5:
Density functional theory data (PBE) for a relaxed structure of TbEr5Sc3.

```
TbEr5Sc3
1.0
7.255 -5.526 0.000
7.255 5.526 0.000
-6.104 0.000 7.318
Tb Er Sc
2 10 6
direct
0.246 0.246 0.096
0.754 0.754 0.904
0.110 0.614 0.757
0.221 0.221 0.732
0.243 0.757 0.500
0.283 0.283 0.468
0.386 0.890 0.243
0.614 0.110 0.757
0.717 0.717 0.532
0.757 0.243 0.500
0.779 0.779 0.268
0.890 0.386 0.243
0.000 0.000 0.000
0.012 0.012 0.318
0.478 0.478 0.133
0.500 0.500 0.500
0.522 0.522 0.867
0.988 0.988 0.682
```

Output
As for the total magnetization: 0.00 μB per atom. The calculation puts the calculated formation energy at 0.480 eV/atom. As for the space group: C2/m. Its density of states at the Fermi level is 25.6 states/eV per cell. For the calculated density, the calculation gives 6.395 g/cm³.


Entry 6:
Density functional theory data (PBE) for a relaxed structure of Tb8ErSc6.

```
Tb8ErSc6
1.0
4.705 2.717 5.718
-4.705 2.717 5.718
0.000 -5.433 5.718
Tb Er Sc
8 1 6
direct
0.093 0.093 0.093
0.139 0.565 0.272
0.272 0.139 0.565
0.435 0.728 0.861
0.565 0.272 0.139
0.728 0.861 0.435
0.861 0.435 0.728
0.907 0.907 0.907
0.500 0.500 0.500
0.117 0.790 0.556
0.210 0.444 0.883
0.444 0.883 0.210
0.556 0.117 0.790
0.790 0.556 0.117
0.883 0.210 0.444
```

Output
As for the total magnetization: 0.00 μB per atom. The calculation puts the calculated formation energy at 0.187 eV/atom. As for the space group: R-3. Its density of states at the Fermi level is 23.0 states/eV per cell. For the calculated density, the calculation gives 6.468 g/cm³. The value obtained for the energy above the most stable polymorph in this dataset is 0.000 eV/atom.


Entry 7:
Density functional theory data (PBE) for a relaxed structure of Tb5Er2Sc5.

```
Tb5Er2Sc5
1.0
7.261 -2.416 0.000
7.261 2.416 0.000
-4.852 0.000 9.723
Tb Er Sc
5 2 5
direct
0.000 0.000 0.000
0.088 0.088 0.752
0.164 0.164 0.499
0.836 0.836 0.501
0.912 0.912 0.248
0.417 0.417 0.754
0.583 0.583 0.246
0.250 0.250 0.246
0.329 0.329 0.998
0.500 0.500 0.500
0.671 0.671 0.002
0.750 0.750 0.754
```

Output
As for the total magnetization: 0.00 μB per atom. The calculation puts the calculated formation energy at 0.050 eV/atom. As for the space group: C2/m. Its density of states at the Fermi level is 17.9 states/eV per cell. For the calculated density, the calculation gives 6.590 g/cm³. The value obtained for the energy above the most stable polymorph in this dataset is 0.000 eV/atom.


Entry 8:
Density functional theory data (PBE) for a relaxed structure of Tb4Er7Sc.

```
Tb4Er7Sc
1.0
5.945 -2.868 0.000
5.945 2.868 0.000
-5.852 0.000 11.194
Tb Er Sc
4 7 1
direct
0.139 0.139 0.275
0.287 0.287 0.835
0.713 0.713 0.165
0.861 0.861 0.725
0.000 0.000 0.500
0.133 0.133 0.992
0.293 0.293 0.575
0.425 0.425 0.200
0.575 0.575 0.800
0.707 0.707 0.425
0.867 0.867 0.008
0.500 0.500 0.500
```

Output
As for the total magnetization: 0.06 μB per atom. The calculation puts the calculated formation energy at 0.286 eV/atom. As for the space group: C2/m. Its density of states at the Fermi level is 20.4 states/eV per cell. For the calculated density, the calculation gives 8.054 g/cm³. The value obtained for the energy above the most stable polymorph in this dataset is 0.184 eV/atom.


Entry 9:
Density functional theory data (PBE) for a relaxed structure of Tb2Er7Sc3.

```
Tb2Er7Sc3
1.0
2.809 -18.234 0.000
2.809 18.234 0.000
0.000 0.000 3.506
Tb Er Sc
2 7 3
direct
0.175 0.825 0.000
0.825 0.175 0.000
0.000 0.000 0.000
0.090 0.910 0.500
0.272 0.728 0.000
0.429 0.571 0.000
0.571 0.429 0.000
0.728 0.272 0.000
0.910 0.090 0.500
0.352 0.648 0.500
0.500 0.500 0.500
0.648 0.352 0.500
```

Output
As for the total magnetization: 0.00 μB per atom. The calculation puts the calculated formation energy at 0.151 eV/atom. As for the space group: Cmmm. Its density of states at the Fermi level is 22.0 states/eV per cell. For the calculated density, the calculation gives 7.506 g/cm³.


Entry 10:
Density functional theory data (PBE) for a relaxed structure of Tb5Er2Sc2.

```
Tb5Er2Sc2
1.0
10.541 -4.900 0.000
10.541 4.900 0.000
-1.427 0.000 5.296
Tb Er Sc
10 4 4
direct
0.110 0.890 0.500
0.170 0.391 0.280
0.391 0.170 0.780
0.431 0.673 0.053
0.441 0.839 0.641
0.607 0.849 0.229
0.673 0.431 0.553
0.839 0.441 0.141
0.849 0.607 0.729
0.890 0.110 0.000
0.053 0.227 0.641
0.140 0.640 0.891
0.227 0.053 0.141
0.640 0.140 0.391
0.350 0.527 0.439
0.527 0.350 0.939
0.753 0.931 0.842
0.931 0.753 0.342
```

Output
As for the total magnetization: 0.00 μB per atom. The calculation puts the calculated formation energy at 0.120 eV/atom. As for the space group: Cc. Its density of states at the Fermi level is 31.9 states/eV per cell. For the calculated density, the calculation gives 7.401 g/cm³. The value obtained for the energy above the most stable polymorph in this dataset is 0.082 eV/atom.


Entry 11:
Density functional theory data (PBE) for a relaxed structure of Tb7Er2Sc3.

```
Tb7Er2Sc3
1.0
2.841 -18.306 0.000
2.841 18.306 0.000
0.000 0.000 3.517
Tb Er Sc
7 2 3
direct
0.000 0.000 0.000
0.092 0.908 0.500
0.271 0.729 0.000
0.428 0.572 0.000
0.572 0.428 0.000
0.729 0.271 0.000
0.908 0.092 0.500
0.176 0.824 0.000
0.824 0.176 0.000
0.350 0.650 0.500
0.500 0.500 0.500
0.650 0.350 0.500
```

Output
As for the total magnetization: 0.12 μB per atom. The calculation puts the calculated formation energy at 0.153 eV/atom. As for the space group: Cmmm. Its density of states at the Fermi level is 21.3 states/eV per cell. For the calculated density, the calculation gives 7.181 g/cm³.


Entry 12:
Density functional theory data (PBE) for a relaxed structure of Tb5Er3Sc3.

```
Tb5Er3Sc3
1.0
10.787 0.000 0.000
-5.394 9.342 0.000
0.000 0.000 3.379
Tb Er Sc
5 3 3
direct
0.000 0.165 0.000
0.165 0.000 0.000
0.333 0.667 0.000
0.667 0.333 0.000
0.835 0.835 0.000
0.000 0.653 0.000
0.347 0.347 0.000
0.653 0.000 0.000
0.000 0.408 0.500
0.408 0.000 0.500
0.592 0.592 0.500
```

Output
As for the total magnetization: 0.00 μB per atom. The calculation puts the calculated formation energy at 0.363 eV/atom. As for the space group: P-62m. Its density of states at the Fermi level is 18.8 states/eV per cell. For the calculated density, the calculation gives 6.980 g/cm³.


Number 12 is which compound?
Tb5Er3Sc3


Look up the calculated density of the second one.
7.532 g/cm³


Which value of calculated formation energy does entry 6 give?
0.187 eV/atom